No. 1
Entry from Alexandria: SrFeTcRu2 after structural relaxation (PBE).

Output
Magnetization: 0.6 Bohr magnetons per cell
Formation energy: 1.860 eV per atom

a = 4.6385 Å, b = 5.3465 Å, c = 4.6385 Å
α = 90.00°, β = 90.00°, γ = 90.00°
Sites, in units of the cell vectors:
1 Tc 0.0000 0.0000 0.0000
2 Fe 0.5000 0.5000 0.5000
3 Sr 0.0000 0.5000 0.0000
4 Ru 0.5000 0.0000 0.0000
5 Ru 0.0000 0.0000 0.5000


No. 2
Entry from Alexandria: PmTmCoHg after structural relaxation (PBE).

Output
Magnetization: 0.5 Bohr magnetons per cell
Formation energy: -0.192 eV per atom

a = 5.0632 Å, b = 5.0632 Å, c = 5.0632 Å
α = 60.00°, β = 60.00°, γ = 60.00°
Sites, in units of the cell vectors:
1 Tm 0.5000 0.5000 0.5000
2 Hg 0.7500 0.7500 0.7500
3 Co 0.2500 0.2500 0.2500
4 Pm 0.0000 0.0000 0.0000


No. 3
Entry from Alexandria: PuTh3 after structural relaxation (PBE).

Output
Magnetization: 5.6 Bohr magnetons per cell
Formation energy: 0.111 eV per atom

a = 3.5105 Å, b = 5.8509 Å, c = 6.0208 Å
α = 90.00°, β = 90.00°, γ = 90.00°
Sites, in units of the cell vectors:
1 Th 0.5000 0.5000 0.8322
2 Th 0.0000 0.0000 0.0055
3 Th 0.5000 0.0000 0.5001
4 Pu 0.0000 0.5000 0.3288


No. 4
Entry from Alexandria: PaRhO4 after structural relaxation (PBE).

Output
Electronic total energy: -8.425 eV/atom
Magnetization: 0.0 Bohr magnetons per cell

a = 5.1127 Å, b = 5.2912 Å, c = 5.9002 Å
α = 90.00°, β = 90.00°, γ = 90.00°
Sites, in units of the cell vectors:
1 O 0.2596 0.8366 0.6178
2 O 0.7162 0.6784 0.3747
3 O 0.2838 0.3216 0.3747
4 O 0.7838 0.6784 0.8747
5 O 0.7596 0.1634 0.1178
6 O 0.7404 0.1634 0.6178
7 O 0.2404 0.8366 0.1178
8 O 0.2162 0.3216 0.8747
9 Rh 0.0000 0.0000 0.8604
10 Rh 0.5000 0.0000 0.3604
11 Pa 0.5000 0.5000 0.6546
12 Pa 0.0000 0.5000 0.1546